Material: CsZrTcO6
Method: DFT, PBE-GGA
State: optimized geometry

Lattice parameters (Å, degrees): 5.486 5.486 6.600 90.00 90.00 60.00
Sites, in units of the cell vectors:
O 0.028 0.572 0.673
O 0.401 0.028 0.673
O 0.572 0.028 0.327
O 0.028 0.401 0.327
O 0.572 0.401 0.673
O 0.401 0.572 0.327
Tc 0.333 0.333 0.500
Cs 0.000 0.000 0.000
Zr 0.667 0.667 0.500

Results
**Theoretical density**: 4.0 g/cm3
**Total magnetic moment**: 0.000 μB/cell
**E**: -7.50 eV/atom